No. 1
Entry from Alexandria: a relaxed structure of USO (PBE).

Its space group is F-43m, No. 216. The value obtained for the energy relative to the elements, uncorrected is -1.873 eV per atom.

Structure (extended XYZ):
```
3
Lattice="0.000 2.999 2.999 2.999 0.000 2.999 2.999 2.999 0.000" Properties=species:S:1:pos:R:3 pbc="T T T"
U 0.000 0.000 0.000
S 4.499 4.499 4.499
O 1.500 1.500 1.500
```



No. 2
Entry from Alexandria: a relaxed structure of ErSi2Sb2Pt7 (PBE).

Its space group is C2/m, No. 12. The value obtained for the energy relative to the elements, uncorrected is -0.703 eV per atom.

Structure (extended XYZ):
```
12
Lattice="2.792 -2.792 0.000 2.792 2.792 0.000 -2.779 0.000 15.065" Properties=species:S:1:pos:R:3 pbc="T T T"
Er 0.000 0.000 0.000
Si 0.016 0.000 11.475
Si 2.789 0.000 3.590
Sb 0.004 0.000 6.360
Sb 2.801 0.000 8.704
Pt 1.393 1.396 2.215
Pt 0.007 0.000 9.119
Pt 1.412 1.396 12.849
Pt 2.792 0.000 0.000
Pt 1.393 -1.396 2.215
Pt 2.798 0.000 5.946
Pt 1.412 -1.396 12.849
```



No. 3
Entry from Alexandria: a relaxed structure of Ba3Mg2Hg2 (PBE).

Its space group is Pbcm, No. 57. The formation energy is -294.9 meV/atom.

Structure (extended XYZ):
```
28
Lattice="7.165 0.000 0.000 0.000 8.615 0.000 0.000 0.000 16.881" Properties=species:S:1:pos:R:3 pbc="T T T"
Ba 0.673 0.754 1.815
Ba 0.673 0.754 6.626
Ba 0.673 3.554 10.255
Ba 0.673 3.554 15.067
Ba 2.693 6.295 4.220
Ba 2.693 6.627 12.661
Ba 4.472 1.988 4.220
Ba 4.472 2.320 12.661
Ba 6.492 5.061 1.815
Ba 6.492 5.061 6.626
Ba 6.492 7.861 10.255
Ba 6.492 7.861 15.067
Mg 2.873 0.518 9.733
Mg 2.873 0.518 15.589
Mg 2.873 3.790 1.293
Mg 2.873 3.790 7.148
Mg 4.292 4.825 9.733
Mg 4.292 4.825 15.589
Mg 4.292 8.097 1.293
Mg 4.292 8.097 7.148
Hg 1.189 1.099 12.661
Hg 1.189 3.208 4.220
Hg 2.238 6.461 0.000
Hg 2.238 6.461 8.441
Hg 4.927 2.154 0.000
Hg 4.927 2.154 8.441
Hg 5.976 5.407 12.661
Hg 5.976 7.516 4.220
```



No. 4
Entry from Alexandria: a relaxed structure of Nb2AlAu (PBE).

Its space group is P4/mmm, No. 123. The formation energy is -286.0 meV/atom.

Structure (extended XYZ):
```
4
Lattice="3.930 0.000 0.000 0.000 3.930 0.000 0.000 0.000 4.461" Properties=species:S:1:pos:R:3 pbc="T T T"
Nb 0.000 1.965 0.000
Nb 1.965 0.000 0.000
Al 0.000 0.000 2.231
Au 1.965 1.965 2.231
```



No. 5
Entry from Alexandria: a relaxed structure of HoTi2Co2 (PBE).

Its space group is I4/mmm, No. 139. The formation energy is -315.5 meV/atom.

Structure (extended XYZ):
```
5
Lattice="-2.063 2.063 4.948 2.063 -2.063 4.948 2.063 2.063 -4.948" Properties=species:S:1:pos:R:3 pbc="T T T"
Ho 0.000 0.000 0.000
Ti 2.063 0.000 2.474
Ti 0.000 2.063 2.474
Co 0.000 0.000 3.807
Co 0.000 0.000 6.090
```



No. 6
Entry from Alexandria: a relaxed structure of CsRh3Br (PBE).

Its space group is Pm-3m, No. 221. The relative energy among the computed polymorphs comes out at 0 meV/atom. The value obtained for the energy relative to the elements, uncorrected is 0.944 eV per atom.

Structure (extended XYZ):
```
5
Lattice="4.849 0.000 0.000 0.000 4.849 0.000 0.000 0.000 4.849" Properties=species:S:1:pos:R:3 pbc="T T T"
Cs 0.000 0.000 0.000
Rh 0.000 2.425 2.425
Rh 2.425 0.000 2.425
Rh 2.425 2.425 0.000
Br 2.425 2.425 2.425
```



No. 7
Entry from Alexandria: a relaxed structure of Er6Tm2Mg (PBE).

Its space group is P-6m2, No. 187. The formation energy is 60.8 meV/atom. The relative energy among the computed polymorphs comes out at 32 meV/atom.

Structure (extended XYZ):
```
9
Lattice="3.509 0.000 0.000 -1.754 3.039 0.000 0.000 0.000 25.619" Properties=species:S:1:pos:R:3 pbc="T T T"
Er 0.000 0.000 1.681
Er 0.000 0.000 7.255
Er 0.000 0.000 18.364
Er 0.000 0.000 23.938
Er 0.000 2.026 10.062
Er 0.000 2.026 15.557
Tm 0.000 2.026 4.440
Tm 0.000 2.026 21.179
Mg 0.000 0.000 12.809
```



No. 8
Entry from Alexandria: a relaxed structure of Nd2EuTl (PBE).

Its space group is Fm-3m, No. 225. The formation energy is -91.8 meV/atom. The relative energy among the computed polymorphs comes out at 83 meV/atom.

Structure (extended XYZ):
```
4
Lattice="0.000 3.996 3.996 3.996 0.000 3.996 3.996 3.996 0.000" Properties=species:S:1:pos:R:3 pbc="T T T"
Nd 1.998 1.998 1.998
Nd 5.994 5.994 5.994
Eu 0.000 0.000 0.000
Tl 3.996 3.996 3.996
```



No. 9
Entry from Alexandria: a relaxed structure of YTaW2 (PBE).

Its space group is Cm, No. 8. The formation energy is 595.9 meV/atom. The relative energy among the computed polymorphs comes out at 289 meV/atom.

Structure (extended XYZ):
```
4
Lattice="4.816 -1.387 0.000 4.816 1.387 0.000 -0.007 0.000 5.713" Properties=species:S:1:pos:R:3 pbc="T T T"
Y 0.000 0.000 0.000
Ta 2.418 0.000 4.201
W 4.852 0.000 2.834
W 7.199 0.000 1.522
```



No. 10
Entry from Alexandria: a relaxed structure of AcSiSe4 (PBE).

Its space group is P2_1/m, No. 11. The value obtained for the energy relative to the elements, uncorrected is -0.960 eV per atom.

Structure (extended XYZ):
```
12
Lattice="6.228 0.000 0.000 0.000 9.909 0.000 -1.011 0.000 6.151" Properties=species:S:1:pos:R:3 pbc="T T T"
Ac 0.788 2.477 0.892
Ac 4.428 7.432 5.259
Si 1.881 7.432 2.257
Si 3.335 2.477 3.894
Se 0.938 5.665 1.148
Se 0.938 9.198 1.148
Se 1.068 2.477 4.076
Se 1.334 7.432 4.465
Se 3.882 2.477 1.685
Se 4.149 7.432 2.075
Se 4.279 0.711 5.003
Se 4.279 4.244 5.003
```



No. 11
Entry from Alexandria: a relaxed structure of KBaSe2Br (PBE).

Its space group is P4/mmm, No. 123. The relative energy among the computed polymorphs comes out at 0 meV/atom. The value obtained for the energy relative to the elements, uncorrected is -0.889 eV per atom.

Structure (extended XYZ):
```
5
Lattice="6.296 0.000 0.000 0.000 6.296 0.000 0.000 0.000 6.335" Properties=species:S:1:pos:R:3 pbc="T T T"
K 0.000 0.000 0.000
Ba 3.148 3.148 3.167
Se 0.000 3.148 3.167
Se 3.148 0.000 3.167
Br 3.148 3.148 0.000
```



No. 12
Entry from Alexandria: a relaxed structure of Rb3TiTe3 (PBE).

Its space group is C2/m, No. 12. The relative energy among the computed polymorphs comes out at 4 meV/atom. The value obtained for the energy relative to the elements, uncorrected is -0.946 eV per atom.

Structure (extended XYZ):
```
14
Lattice="4.816 -7.383 0.000 4.816 7.383 0.000 -2.510 0.000 8.647" Properties=species:S:1:pos:R:3 pbc="T T T"
Rb 4.816 4.854 0.000
Rb 3.562 3.322 4.324
Rb 3.462 0.000 1.150
Rb 3.661 0.000 7.497
Rb 3.562 -3.322 4.324
Rb 4.816 -4.854 0.000
Ti -0.236 0.000 5.488
Ti 7.359 0.000 3.159
Te 0.401 0.000 2.881
Te 0.768 2.163 6.692
Te 0.768 -2.163 6.692
Te 6.355 2.163 1.955
Te 6.355 -2.163 1.955
Te 6.722 0.000 5.767
```



No. 13
Entry from Alexandria: a relaxed structure of RbZrTe3 (PBE).

Its space group is P2_1/m, No. 11. The relative energy among the computed polymorphs comes out at 0 meV/atom. The value obtained for the energy relative to the elements, uncorrected is -0.769 eV per atom.

Structure (extended XYZ):
```
10
Lattice="5.601 0.000 0.000 0.000 5.605 0.000 -2.757 0.000 12.488" Properties=species:S:1:pos:R:3 pbc="T T T"
Rb -0.001 1.401 4.217
Rb 2.845 4.204 8.271
Zr 0.044 1.401 10.661
Zr 2.800 4.204 1.826
Te 0.000 4.204 0.831
Te 0.043 1.401 7.962
Te 0.044 4.204 11.098
Te 2.800 1.401 1.390
Te 2.801 4.204 4.525
Te 2.844 1.401 11.657
```



No. 14
Entry from Alexandria: a relaxed structure of ScZn2Mo (PBE).

Its space group is R3m, No. 160. The formation energy is 169.2 meV/atom. The relative energy among the computed polymorphs comes out at 242 meV/atom.

Structure (extended XYZ):
```
4
Lattice="1.488 0.859 9.023 -1.488 0.859 9.023 0.000 -1.718 9.023" Properties=species:S:1:pos:R:3 pbc="T T T"
Sc 0.000 0.000 0.000
Zn 0.000 0.000 13.538
Zn 0.000 0.000 20.424
Mo 0.000 0.000 6.687
```



No. 15
Entry from Alexandria: a relaxed structure of HfSiSn2 (PBE).

Its space group is I-42d, No. 122. The value obtained for the energy relative to the elements, uncorrected is 0.234 eV per atom.

Structure (extended XYZ):
```
8
Lattice="-3.964 3.964 2.908 3.964 -3.964 2.908 3.964 3.964 -2.908" Properties=species:S:1:pos:R:3 pbc="T T T"
Hf 0.000 0.000 0.000
Hf 0.000 3.964 1.454
Si 3.964 0.000 1.454
Si 0.000 0.000 2.908
Sn 1.982 -1.808 2.181
Sn 2.155 1.982 0.727
Sn 1.982 5.772 -0.727
Sn 1.808 1.982 3.634
```



No. 16
Entry from Alexandria: a relaxed structure of Pm2PrTlO (PBE).

Its space group is P4/mmm, No. 123. The value obtained for the energy relative to the elements, uncorrected is -1.351 eV per atom.

Structure (extended XYZ):
```
5
Lattice="4.945 0.000 0.000 0.000 4.945 0.000 0.000 0.000 5.038" Properties=species:S:1:pos:R:3 pbc="T T T"
Pm 0.000 2.472 0.000
Pm 2.472 0.000 0.000
Pr 0.000 0.000 2.519
Tl 2.472 2.472 2.519
O 0.000 0.000 0.000
```



No. 17
Entry from Alexandria: a relaxed structure of LaTi2Pd2 (PBE).

Its space group is P4/mbm, No. 127. The formation energy is -340.0 meV/atom. The relative energy among the computed polymorphs comes out at 107 meV/atom.

Structure (extended XYZ):
```
10
Lattice="7.901 0.000 0.000 0.000 7.901 0.000 0.000 0.000 2.973" Properties=species:S:1:pos:R:3 pbc="T T T"
La 0.000 0.000 0.000
La 3.950 3.950 0.000
Ti 1.211 2.739 0.000
Ti 2.739 6.690 0.000
Ti 5.162 1.211 0.000
Ti 6.690 5.162 0.000
Pd 1.082 5.033 1.486
Pd 2.868 1.082 1.486
Pd 5.033 6.818 1.486
Pd 6.818 2.868 1.486
```